Entry 1:
Mg2CdHg2 (GGA-PBE, optimized geometry); E above lowest polymorph = 61 meV/atom; SG = C2/m; energy of formation = -79 meV per atom; E = -5.10 eV for the cell shown; size of the total moment = 0.0 Bohr magnetons per cell
1.0
0.665 -5.015 1.903
5.402 0.157 0.085
-4.502 4.931 2.299
Mg Hg Cd
2 2 1
direct
0.210 0.790 0.500 Mg
0.790 0.210 0.500 Mg
0.508 0.508 0.218 Hg
0.492 0.492 0.782 Hg
0.000 0.000 0.000 Cd

Entry 2:
MgCd5Hg6 (GGA-PBE, optimized geometry); E above lowest polymorph = 0 meV/atom; SG = C2/m; energy of formation = -20 meV per atom; E = -8.22 eV for the cell shown; size of the total moment = 0.0 Bohr magnetons per cell
1.0
-3.252 -0.292 4.215
-4.035 -8.673 -0.566
2.297 -6.551 2.892
Mg Hg Cd
1 6 5
direct
0.000 0.000 0.000 Mg
0.767 0.401 0.677 Hg
0.767 0.078 0.323 Hg
0.270 0.233 0.000 Hg
0.233 0.922 0.677 Hg
0.730 0.767 0.000 Hg
0.233 0.599 0.323 Hg
0.500 0.815 0.370 Cd
0.500 0.500 0.000 Cd
0.000 0.345 0.310 Cd
0.000 0.655 0.690 Cd
0.500 0.185 0.630 Cd

Entry 3:
MgCd2Hg (GGA-PBE, optimized geometry); E above lowest polymorph = 88 meV/atom; SG = Fm-3m; energy of formation = 9 meV per atom; E = -3.69 eV for the cell shown; size of the total moment = 0.0 Bohr magnetons per cell
1.0
0.000 3.565 3.565
3.565 0.000 3.565
3.565 3.565 0.000
Hg Cd Mg
1 2 1
direct
0.500 0.500 0.500 Hg
0.750 0.750 0.750 Cd
0.250 0.250 0.250 Cd
0.000 0.000 0.000 Mg

Entry 4:
Mg2CdHg (GGA-PBE, optimized geometry); E above lowest polymorph = 125 meV/atom; SG = F-43m; energy of formation = -42 meV per atom; E = -4.57 eV for the cell shown; size of the total moment = 0.0 Bohr magnetons per cell
1.0
4.982 0.000 0.000
2.491 4.314 0.000
2.491 1.438 4.068
Hg Mg Cd
1 2 1
direct
0.750 0.750 0.750 Hg
0.000 0.000 0.000 Mg
0.250 0.250 0.250 Mg
0.500 0.500 0.500 Cd

Entry 5:
MgCdHg3 (GGA-PBE, optimized geometry); E above lowest polymorph = 210 meV/atom; SG = Pm-3m; energy of formation = 147 meV per atom; E = -2.68 eV for the cell shown; size of the total moment = 0.0 Bohr magnetons per cell
1.0
-3.866 0.784 -3.834
-2.029 -5.010 1.020
-3.347 2.131 3.810
Hg Cd Mg
3 1 1
direct
0.000 0.000 0.500 Hg
0.500 0.000 0.000 Hg
0.000 0.500 0.000 Hg
0.500 0.500 0.500 Cd
0.000 0.000 0.000 Mg

Entry 6:
MgCd2Hg (GGA-PBE, optimized geometry); E above lowest polymorph = 72 meV/atom; SG = R-3m; energy of formation = -7 meV per atom; E = -3.76 eV for the cell shown; size of the total moment = 0.0 Bohr magnetons per cell
1.0
9.567 -0.076 -0.046
8.993 3.263 -0.046
8.993 1.545 2.874
Cd Hg Mg
2 1 1
direct
0.499 0.499 0.499 Cd
0.001 0.001 0.001 Cd
0.250 0.250 0.250 Hg
0.750 0.750 0.750 Mg

Entry 7:
Mg2CdHg9 (GGA-PBE, optimized geometry); SG = P2/m; energy of formation = -37 meV per atom; E = -7.26 eV for the cell shown; size of the total moment = 0.0 Bohr magnetons per cell
1.0
3.843 0.000 0.000
-0.001 5.097 -0.678
0.000 -2.777 15.190
Mg Hg Cd
2 9 1
direct
0.000 0.019 0.662 Mg
0.000 0.981 0.338 Mg
0.500 0.032 0.825 Hg
0.000 0.526 0.829 Hg
0.500 0.515 0.664 Hg
0.000 0.500 0.500 Hg
0.500 0.000 0.500 Hg
0.500 0.968 0.175 Hg
0.000 0.474 0.171 Hg
0.500 0.485 0.336 Hg
0.500 0.500 0.000 Hg
0.000 0.000 0.000 Cd

Entry 8:
Mg2CdHg (GGA-PBE, optimized geometry); E above lowest polymorph = 49 meV/atom; SG = I-4m2; energy of formation = -117 meV per atom; E = -4.88 eV for the cell shown; size of the total moment = 0.0 Bohr magnetons per cell
1.0
-3.221 -4.292 1.290
-1.564 -2.823 -4.477
4.891 1.760 1.854
Mg Hg Cd
2 1 1
direct
0.250 0.750 0.500 Mg
0.000 0.000 0.000 Mg
0.750 0.250 0.500 Hg
0.500 0.500 0.000 Cd

Entry 9:
Mg12Cd5Hg2 (GGA-PBE, optimized geometry); E above lowest polymorph = 14 meV/atom; SG = C2/m; energy of formation = -74 meV per atom; E = -25.72 eV for the cell shown; size of the total moment = 0.0 Bohr magnetons per cell
1.0
9.326 0.000 0.000
-4.663 6.037 1.225
0.000 -0.771 7.444
Mg Cd Hg
12 5 2
direct
0.633 0.671 0.776 Mg
0.962 0.329 0.224 Mg
0.873 0.745 0.108 Mg
0.367 0.329 0.224 Mg
0.435 0.870 0.719 Mg
0.038 0.671 0.776 Mg
0.370 0.204 0.623 Mg
0.565 0.130 0.281 Mg
0.630 0.796 0.377 Mg
0.166 0.796 0.377 Mg
0.127 0.255 0.892 Mg
0.834 0.204 0.623 Mg
0.669 0.338 0.899 Cd
0.000 0.000 0.500 Cd
0.331 0.662 0.101 Cd
0.242 0.483 0.522 Cd
0.758 0.517 0.478 Cd
0.734 0.000 0.000 Hg
0.266 0.000 0.000 Hg

Entry 10:
MgCd4Hg2 (GGA-PBE, optimized geometry); E above lowest polymorph = 0 meV/atom; SG = Pbam; energy of formation = -36 meV per atom; E = -12.23 eV for the cell shown; size of the total moment = 0.0 Bohr magnetons per cell
1.0
3.398 0.000 0.000
0.000 7.160 0.000
0.000 0.000 13.297
Cd Hg Mg
8 4 2
direct
0.500 0.194 0.887 Cd
0.000 0.480 0.769 Cd
0.500 0.694 0.613 Cd
0.500 0.806 0.113 Cd
0.000 0.020 0.269 Cd
0.000 0.520 0.231 Cd
0.500 0.306 0.387 Cd
0.000 0.980 0.731 Cd
0.500 0.777 0.892 Hg
0.500 0.223 0.108 Hg
0.500 0.723 0.392 Hg
0.500 0.277 0.608 Hg
0.000 0.000 0.500 Mg
0.000 0.500 0.000 Mg

Entry 11:
Mg5Cd2Hg4 (GGA-PBE, optimized geometry); SG = P-1; energy of formation = -84 meV per atom; E = -11.94 eV for the cell shown; size of the total moment = 0.0 Bohr magnetons per cell
1.0
5.294 1.143 -1.033
1.916 8.172 -0.135
-0.179 0.313 6.414
Mg Hg Cd
5 4 2
direct
0.769 0.510 0.647 Mg
0.864 0.080 0.714 Mg
0.231 0.490 0.353 Mg
0.136 0.920 0.286 Mg
0.500 0.000 0.000 Mg
0.013 0.273 0.073 Hg
0.987 0.727 0.927 Hg
0.246 0.163 0.554 Hg
0.754 0.837 0.446 Hg
0.411 0.386 0.853 Cd
0.589 0.614 0.147 Cd

Entry 12:
MgCd2Hg (GGA-PBE, optimized geometry); E above lowest polymorph = 13 meV/atom; SG = I4/mmm; energy of formation = -67 meV per atom; E = -3.99 eV for the cell shown; size of the total moment = 0.0 Bohr magnetons per cell
1.0
-2.604 4.191 2.572
-4.050 2.176 -3.134
1.297 -5.197 1.506
Mg Cd Hg
1 2 1
direct
0.750 0.250 0.500 Mg
0.500 0.500 0.000 Cd
0.000 0.000 0.000 Cd
0.250 0.750 0.500 Hg

Entry 13:
Mg5CdHg2 (GGA-PBE, optimized geometry); SG = I4/mmm; energy of formation = -140 meV per atom; E = -10.61 eV for the cell shown; size of the total moment = 0.0 Bohr magnetons per cell
1.0
-2.012 0.051 4.727
-3.143 -3.852 -1.296
7.088 -2.442 0.252
Mg Hg Cd
5 2 1
direct
0.500 0.500 0.000 Mg
0.129 0.629 0.258 Mg
0.629 0.129 0.258 Mg
0.871 0.371 0.742 Mg
0.371 0.871 0.742 Mg
0.741 0.741 0.482 Hg
0.259 0.259 0.518 Hg
0.000 0.000 0.000 Cd

Entry 14:
Mg4Cd6Hg (GGA-PBE, optimized geometry); SG = I-42m; energy of formation = 4 meV per atom; E = -12.13 eV for the cell shown; size of the total moment = 0.0 Bohr magnetons per cell
1.0
6.698 -2.869 -5.093
-4.696 7.285 1.977
-1.849 2.869 8.209
Cd Mg Hg
6 4 1
direct
0.000 0.448 0.823 Cd
0.375 0.552 0.552 Cd
0.000 0.823 0.448 Cd
0.625 0.177 0.177 Cd
0.500 0.500 0.000 Cd
0.500 0.000 0.500 Cd
0.000 0.017 0.624 Mg
0.000 0.624 0.017 Mg
0.608 0.983 0.983 Mg
0.392 0.376 0.376 Mg
0.000 0.000 0.000 Hg

Entry 15:
Mg2CdHg (GGA-PBE, optimized geometry); E above lowest polymorph = 53 meV/atom; SG = Imm2; energy of formation = -114 meV per atom; E = -4.86 eV for the cell shown; size of the total moment = 0.0 Bohr magnetons per cell
1.0
6.074 0.036 0.050
3.106 5.220 -0.050
-4.094 -3.495 2.816
Hg Mg Cd
1 2 1
direct
0.247 0.747 0.500 Hg
0.747 0.247 0.500 Mg
0.013 0.013 0.000 Mg
0.493 0.493 0.000 Cd

Entry 16:
Mg2Cd4Hg3 (GGA-PBE, optimized geometry); E above lowest polymorph = 0 meV/atom; SG = C2/m; energy of formation = -62 meV per atom; E = -8.31 eV for the cell shown; size of the total moment = 0.0 Bohr magnetons per cell
1.0
4.337 0.000 0.000
0.000 6.980 0.757
-2.169 -2.549 6.468
Hg Mg Cd
3 2 4
direct
0.000 0.000 0.000 Hg
0.131 0.686 0.261 Hg
0.869 0.314 0.739 Hg
0.656 0.991 0.311 Mg
0.344 0.009 0.689 Mg
0.787 0.682 0.573 Cd
0.556 0.347 0.112 Cd
0.213 0.318 0.427 Cd
0.444 0.653 0.888 Cd

Entry 17:
Mg2Cd3Hg2 (GGA-PBE, optimized geometry); E above lowest polymorph = 0 meV/atom; SG = C2/m; energy of formation = -77 meV per atom; E = -7.08 eV for the cell shown; size of the total moment = 0.0 Bohr magnetons per cell
1.0
4.101 0.000 0.000
-2.051 4.854 0.051
0.000 -0.100 7.904
Cd Hg Mg
3 2 2
direct
0.713 0.427 0.140 Cd
0.287 0.573 0.860 Cd
0.000 0.000 0.000 Cd
0.576 0.152 0.695 Hg
0.424 0.848 0.305 Hg
0.139 0.277 0.414 Mg
0.861 0.723 0.586 Mg

Entry 18:
Mg2CdHg2 (GGA-PBE, optimized geometry); E above lowest polymorph = 137 meV/atom; SG = I4/mmm; energy of formation = -3 meV per atom; E = -4.72 eV for the cell shown; size of the total moment = 0.0 Bohr magnetons per cell
1.0
4.339 0.000 0.000
0.000 4.339 0.000
2.170 2.170 6.537
Hg Cd Mg
2 1 2
direct
0.393 0.393 0.214 Hg
0.607 0.607 0.786 Hg
0.000 0.000 0.000 Cd
0.250 0.750 0.500 Mg
0.750 0.250 0.500 Mg

Entry 19:
Mg3CdHg6 (GGA-PBE, optimized geometry); SG = Cmc2_1; energy of formation = -63 meV per atom; E = -16.28 eV for the cell shown; size of the total moment = 0.0 Bohr magnetons per cell
1.0
6.720 0.000 0.000
0.000 8.776 -0.443
0.000 -2.390 8.455
Mg Hg Cd
6 12 2
direct
0.958 0.098 0.282 Mg
0.958 0.718 0.902 Mg
0.458 0.902 0.718 Mg
0.183 0.403 0.597 Mg
0.458 0.282 0.098 Mg
0.683 0.597 0.403 Mg
0.764 0.498 0.058 Hg
0.264 0.502 0.942 Hg
0.074 0.403 0.270 Hg
0.269 0.949 0.051 Hg
0.294 0.713 0.287 Hg
0.794 0.287 0.713 Hg
0.574 0.270 0.403 Hg
0.764 0.942 0.502 Hg
0.769 0.051 0.949 Hg
0.264 0.058 0.498 Hg
0.574 0.597 0.730 Hg
0.074 0.730 0.597 Hg
0.646 0.844 0.156 Cd
0.146 0.156 0.844 Cd

Entry 20:
MgCd4Hg3 (GGA-PBE, optimized geometry); E above lowest polymorph = 0 meV/atom; SG = C2/m; energy of formation = -29 meV per atom; E = -6.39 eV for the cell shown; size of the total moment = 0.0 Bohr magnetons per cell
1.0
3.137 0.000 0.000
0.000 4.466 -2.970
-1.569 -7.786 18.351
Cd Mg Hg
4 1 3
direct
0.746 0.722 0.493 Cd
0.370 0.632 0.740 Cd
0.254 0.278 0.507 Cd
0.630 0.368 0.260 Cd
0.500 0.000 0.000 Mg
0.883 0.214 0.766 Hg
0.000 0.500 0.000 Hg
0.117 0.786 0.234 Hg

Entry 21:
Mg2Cd2Hg5 (GGA-PBE, optimized geometry); E above lowest polymorph = 10 meV/atom; SG = Ima2; energy of formation = -38 meV per atom; E = -13.73 eV for the cell shown; size of the total moment = 0.0 Bohr magnetons per cell
1.0
5.386 0.000 0.000
0.000 8.133 0.000
-2.693 -4.066 9.910
Hg Cd Mg
10 4 4
direct
0.035 0.281 0.155 Hg
0.342 0.213 0.679 Hg
0.168 0.786 0.500 Hg
0.658 0.534 0.321 Hg
0.164 0.034 0.321 Hg
0.832 0.286 0.500 Hg
0.380 0.626 0.845 Hg
0.836 0.713 0.679 Hg
0.620 0.781 0.155 Hg
0.965 0.126 0.845 Hg
0.000 0.861 0.000 Cd
0.500 0.361 0.000 Cd
0.665 0.943 0.500 Cd
0.335 0.443 0.500 Cd
0.145 0.643 0.195 Mg
0.450 0.948 0.805 Mg
0.855 0.448 0.805 Mg
0.550 0.143 0.195 Mg

Entry 22:
MgCd5Hg5 (GGA-PBE, optimized geometry); SG = P-1; energy of formation = -4 meV per atom; E = -7.73 eV for the cell shown; size of the total moment = 0.0 Bohr magnetons per cell
1.0
6.151 -0.640 1.448
0.211 5.928 4.063
-0.120 1.120 8.024
Hg Cd Mg
5 5 1
direct
0.331 0.112 0.595 Hg
0.669 0.888 0.405 Hg
0.773 0.434 0.917 Hg
0.227 0.566 0.083 Hg
0.500 0.000 0.000 Hg
0.000 0.500 0.500 Cd
0.304 0.497 0.750 Cd
0.824 0.988 0.677 Cd
0.696 0.503 0.250 Cd
0.176 0.012 0.323 Cd
0.000 0.000 0.000 Mg

Entry 23:
MgCd5Hg6 (GGA-PBE, optimized geometry); E above lowest polymorph = 4 meV/atom; SG = C2/m; energy of formation = -16 meV per atom; E = -8.17 eV for the cell shown; size of the total moment = 0.0 Bohr magnetons per cell
1.0
-9.324 1.589 1.127
7.405 -2.185 -6.606
0.186 -4.826 3.567
Cd Hg Mg
5 6 1
direct
0.678 0.178 0.356 Cd
0.000 0.500 0.000 Cd
0.322 0.822 0.644 Cd
0.663 0.663 0.326 Cd
0.337 0.337 0.674 Cd
0.157 0.401 0.324 Hg
0.507 0.761 0.000 Hg
0.493 0.239 0.000 Hg
0.843 0.599 0.676 Hg
0.833 0.077 0.676 Hg
0.167 0.923 0.324 Hg
0.000 0.000 0.000 Mg